Ce2MgIr2Rh5 | the Alexandria database | PBE | relaxed; DFT formation energy = -4.746 eV/f.u.; space-group type = P4/mbm (127)
1.0
4.125 0.000 0.000
0.000 9.299 0.000
0.000 0.000 9.299
Rh Ir Ce Mg
10 4 4 2
Direct
0.500 0.428 0.300 Rh
0.500 0.500 0.000 Rh
0.500 0.700 0.428 Rh
0.500 0.000 0.500 Rh
0.500 0.072 0.800 Rh
0.500 0.800 0.928 Rh
0.500 0.300 0.572 Rh
0.500 0.200 0.072 Rh
0.500 0.572 0.700 Rh
0.500 0.928 0.200 Rh
0.000 0.367 0.133 Ir
0.000 0.633 0.867 Ir
0.000 0.867 0.367 Ir
0.000 0.133 0.633 Ir
0.000 0.666 0.166 Ce
0.000 0.166 0.334 Ce
0.000 0.834 0.666 Ce
0.000 0.334 0.834 Ce
0.000 0.500 0.500 Mg
0.000 0.000 0.000 Mg